# 1
18
Lattice="1.966 -8.354 0.000 1.966 8.354 0.000 0.000 0.000 12.051" Properties=species:S:1:pos:R:3 comment="Nd2ZnInS5 (PBE, relaxed)" e_form_raw_ev_per_atom=-1.33 spacegroup="No. 36" vol_a3_per_cell=395.8 pbc="T T T"
Nd 1.966 6.432 6.026
Nd 1.966 6.196 1.815
Nd 1.966 -6.196 7.840
Nd 1.966 -6.432 0.000
Zn 1.966 0.746 2.836
Zn 1.966 -0.746 8.862
In 1.966 5.276 10.201
In 1.966 -5.276 4.175
S 1.966 8.199 9.937
S 1.966 3.486 6.092
S 1.966 3.016 2.022
S 1.966 2.632 9.959
S 1.966 0.216 6.752
S 1.966 -0.216 0.726
S 1.966 -2.632 3.933
S 1.966 -3.016 8.048
S 1.966 -3.486 0.067
S 1.966 -8.199 3.911

# 2
8
Lattice="-2.679 2.679 5.238 2.679 -2.679 5.238 2.679 2.679 -5.238" Properties=species:S:1:pos:R:3 comment="SiMoS2 (PBE, relaxed)" e_form_raw_ev_per_atom=0.17 spacegroup="No. 122" vol_a3_per_cell=150.4 pbc="T T T"
Si 0.000 0.000 0.000
Si 0.000 2.679 2.619
Mo 2.679 0.000 2.619
Mo 0.000 0.000 5.238
S 4.019 1.299 -1.309
S 1.299 1.340 1.309
S -1.340 1.380 3.928
S 1.380 1.340 6.547

# 3
4
Lattice="4.651 2.685 0.993 -4.651 2.685 0.993 0.000 -5.370 0.993" Properties=species:S:1:pos:R:3 comment="Cd3Ni (PBE, relaxed)" spacegroup="No. 166" final_energy_ev_per_atom=-1.969 vol_a3_per_cell=74.4 pbc="T T T"
Cd -2.325 -1.343 0.993
Cd -2.325 1.343 1.985
Cd 0.000 2.685 0.993
Ni 0.000 0.000 0.000